1.
Here is Li4MnCo2O7 after structural relaxation from the Alexandria database. Energies are from PBE+U.

Properties
V: 252.6 Å³ per cell
total magnetization: 21.0 Bohr magnetons per cell
total DFT energy (no corrections): -5.807 eV/atom

Structure (POSCAR):
```
Li4MnCo2O7
1.0
6.4165 -1.4522 0.0000
6.4165 1.4522 0.0000
-5.1591 0.0000 13.5537
Li Mn Co O
8 2 4 14
Direct
0.0000 0.0000 0.0000
0.0000 0.0000 0.5000
0.1411 0.1411 0.2094
0.2949 0.2949 0.9385
0.4276 0.4276 0.6464
0.5724 0.5724 0.3536
0.7051 0.7051 0.0615
0.8589 0.8589 0.7906
0.1417 0.1417 0.7151
0.8583 0.8583 0.2849
0.2854 0.2854 0.4311
0.4392 0.4392 0.1342
0.5608 0.5608 0.8658
0.7146 0.7146 0.5689
0.0136 0.0136 0.7525
0.1401 0.1401 0.9535
0.1465 0.1465 0.4679
0.2726 0.2726 0.6734
0.2966 0.2966 0.1945
0.4205 0.4205 0.3816
0.4323 0.4323 0.8879
0.5677 0.5677 0.1121
0.5795 0.5795 0.6184
0.7034 0.7034 0.8055
0.7274 0.7274 0.3266
0.8535 0.8535 0.5321
0.8599 0.8599 0.0465
0.9864 0.9864 0.2475
```

***

2.
Here is Li5MnCo2O8 after structural relaxation from the Alexandria database. Energies are from PBE+U.

Properties
V: 143.0 Å³ per cell
total magnetization: 10.0 Bohr magnetons per cell
total DFT energy (no corrections): -5.701 eV/atom

Structure (POSCAR):
```
Li5MnCo2O8
1.0
5.1423 0.0000 0.0000
0.0000 2.8967 0.0000
-1.6879 0.0000 9.5973
Li Mn Co O
5 1 2 8
Direct
0.0000 0.0000 0.0000
0.0000 0.5000 0.5000
0.2585 0.0000 0.7587
0.5000 0.5000 0.0000
0.7415 0.0000 0.2413
0.5000 0.0000 0.5000
0.2204 0.5000 0.2337
0.7796 0.5000 0.7663
0.1066 0.5000 0.8626
0.1622 0.0000 0.3758
0.3692 0.0000 0.1375
0.3876 0.5000 0.6094
0.6124 0.5000 0.3906
0.6308 0.0000 0.8625
0.8378 0.0000 0.6242
0.8934 0.5000 0.1374
```

***

3.
Here is Li7Mn4CoO12 after structural relaxation from the Alexandria database. Energies are from PBE+U.

Properties
V: 221.3 Å³ per cell
total magnetization: 4.0 Bohr magnetons per cell
total DFT energy (no corrections): -6.191 eV/atom

Structure (POSCAR):
```
Li7Mn4CoO12
1.0
2.9773 0.0000 0.0000
0.0089 8.2115 0.0000
0.6012 4.0311 9.0536
Li Mn Co O
7 4 1 12
Direct
0.0000 0.0000 0.0000
0.0032 0.4950 0.9932
0.0619 0.6569 0.6698
0.4727 0.1897 0.1380
0.5270 0.8117 0.8280
0.5932 0.4918 0.5117
0.9491 0.3406 0.2982
0.0652 0.1612 0.6650
0.4760 0.6608 0.1517
0.5453 0.9936 0.4939
0.9948 0.8371 0.3188
0.5303 0.3484 0.8369
0.0002 0.0707 0.3327
0.0025 0.2489 0.9800
0.0027 0.7391 0.0120
0.0608 0.3902 0.6647
0.0815 0.9276 0.6559
0.4614 0.9006 0.1613
0.4783 0.4336 0.1596
0.5349 0.5745 0.8181
0.5383 0.0927 0.8042
0.5455 0.7593 0.4836
0.5887 0.2257 0.5182
0.9538 0.6022 0.3009
```

***

4.
Here is Li4MnCo2O7 after structural relaxation from the Alexandria database. Energies are from PBE+U.

Properties
V: 240.9 Å³ per cell
total magnetization: 9.9 Bohr magnetons per cell
total DFT energy (no corrections): -5.849 eV/atom

Structure (POSCAR):
```
Li4MnCo2O7
1.0
4.9829 0.0000 0.0000
-1.6605 5.5788 0.0000
-0.8564 -0.4020 8.6654
Li Mn Co O
8 2 4 14
Direct
0.0000 0.0000 0.0000
0.0068 0.5054 0.0020
0.1520 0.2968 0.2738
0.2927 0.5743 0.5750
0.4217 0.8561 0.8688
0.5810 0.1537 0.1369
0.7225 0.4330 0.4225
0.8650 0.7132 0.7248
0.7216 0.9312 0.4250
0.8649 0.2224 0.7208
0.1495 0.7865 0.2803
0.2924 0.0739 0.5724
0.4350 0.3635 0.8607
0.5763 0.6419 0.1364
0.1449 0.0628 0.7898
0.1458 0.5142 0.7830
0.3117 0.8136 0.0897
0.3230 0.3493 0.0661
0.4383 0.6312 0.3457
0.4393 0.0844 0.3557
0.5851 0.3859 0.6595
0.6067 0.9074 0.6315
0.6904 0.6650 0.9396
0.7113 0.1897 0.9117
0.8572 0.4998 0.2129
0.8640 0.9467 0.2206
0.9783 0.2362 0.5035
0.9994 0.7654 0.4815
```

***

5.
Here is Li4MnCo2O7 after structural relaxation from the Alexandria database. Energies are from PBE+U.

Properties
V: 242.7 Å³ per cell
total magnetization: 11.9 Bohr magnetons per cell
total DFT energy (no corrections): -5.842 eV/atom

Structure (POSCAR):
```
Li4MnCo2O7
1.0
5.0464 0.0000 0.0000
-1.7318 5.5842 0.0000
-0.7713 -0.4499 8.6132
Li Mn Co O
8 2 4 14
Direct
0.0000 0.0000 0.0000
0.0081 0.4794 0.0008
0.1423 0.2780 0.2864
0.3020 0.5530 0.5890
0.4384 0.8368 0.8706
0.5947 0.1394 0.1369
0.7276 0.4134 0.4392
0.8787 0.6901 0.7360
0.5844 0.6207 0.1476
0.7305 0.9195 0.4428
0.1565 0.7689 0.2826
0.3018 0.0600 0.5864
0.4412 0.3432 0.8675
0.8715 0.2025 0.7264
0.0176 0.7668 0.5014
0.1570 0.4954 0.7930
0.1580 0.0492 0.7852
0.3132 0.8010 0.0960
0.3221 0.3260 0.0777
0.4486 0.0755 0.3870
0.4568 0.6115 0.3627
0.5822 0.3505 0.6651
0.6103 0.8887 0.6452
0.7033 0.6493 0.9480
0.7145 0.1719 0.9196
0.8552 0.9354 0.2310
0.8557 0.4691 0.2236
0.9923 0.2214 0.5128
```

***

6.
Here is Li7Mn4CoO12 after structural relaxation from the Alexandria database. Energies are from PBE+U.

Properties
V: 217.0 Å³ per cell
total magnetization: 16.0 Bohr magnetons per cell
total DFT energy (no corrections): -6.192 eV/atom

Structure (POSCAR):
```
Li7Mn4CoO12
1.0
8.4452 0.0000 0.0000
0.0000 2.9016 0.0000
-4.1762 0.0000 8.8566
Li Mn Co O
7 4 1 12
Direct
0.0000 0.0000 0.0000
0.0000 0.5000 0.5000
0.3429 0.0000 0.6761
0.3614 0.5000 0.1694
0.5000 0.0000 0.0000
0.6386 0.5000 0.8306
0.6571 0.0000 0.3239
0.1679 0.0000 0.3298
0.1829 0.5000 0.8370
0.8171 0.5000 0.1630
0.8321 0.0000 0.6702
0.5000 0.5000 0.5000
0.0727 0.5000 0.1784
0.0907 0.0000 0.6851
0.2317 0.5000 0.4779
0.2399 0.0000 0.9818
0.3957 0.5000 0.8302
0.4081 0.0000 0.3335
0.5919 0.0000 0.6665
0.6043 0.5000 0.1698
0.7601 0.0000 0.0182
0.7683 0.5000 0.5221
0.9093 0.0000 0.3149
0.9273 0.5000 0.8216
```

***

7.
Here is Li4MnCo2O7 after structural relaxation from the Alexandria database. Energies are from PBE+U.

Properties
V: 241.6 Å³ per cell
total magnetization: 2.0 Bohr magnetons per cell
total DFT energy (no corrections): -5.803 eV/atom

Structure (POSCAR):
```
Li4MnCo2O7
1.0
4.9868 0.0000 0.0000
0.8680 6.4853 0.0000
1.7126 0.2980 7.4714
Li Mn Co O
8 2 4 14
Direct
0.0000 0.0000 0.0000
0.0564 0.8639 0.3517
0.2094 0.5764 0.0651
0.3455 0.2691 0.7922
0.5104 0.9962 0.5051
0.6513 0.7194 0.2043
0.7863 0.4228 0.9288
0.9266 0.1308 0.6546
0.2814 0.4237 0.4286
0.4292 0.1345 0.1364
0.1289 0.7256 0.7316
0.5716 0.8573 0.8556
0.7091 0.5692 0.5730
0.8538 0.2809 0.2831
0.0316 0.4332 0.6568
0.1118 0.2789 0.0554
0.1727 0.1597 0.3778
0.2684 0.9821 0.7516
0.3414 0.8705 0.0994
0.3914 0.6812 0.4728
0.4738 0.5892 0.8118
0.5321 0.4053 0.1929
0.5931 0.2945 0.5172
0.6551 0.1293 0.9036
0.7340 0.0220 0.2472
0.8158 0.8495 0.6166
0.8837 0.7125 0.9518
0.9667 0.5482 0.3333
```

***

8.
Here is Li4MnCo2O7 after structural relaxation from the Alexandria database. Energies are from PBE+U.

Properties
V: 243.5 Å³ per cell
total magnetization: 11.9 Bohr magnetons per cell
total DFT energy (no corrections): -5.840 eV/atom

Structure (POSCAR):
```
Li4MnCo2O7
1.0
5.0663 0.0000 0.0000
-1.7748 5.5742 0.0000
-0.7596 -0.4100 8.6217
Li Mn Co O
8 2 4 14
Direct
0.0000 0.0000 0.0000
0.0297 0.4940 0.0022
0.1765 0.2854 0.2832
0.3201 0.5631 0.5798
0.4473 0.8468 0.8676
0.6053 0.1396 0.1432
0.7525 0.4245 0.4328
0.8959 0.7085 0.7244
0.4592 0.3535 0.8654
0.7480 0.9238 0.4323
0.1749 0.7776 0.2853
0.3200 0.0683 0.5788
0.6050 0.6373 0.1488
0.8891 0.2118 0.7215
0.0090 0.2282 0.5077
0.0246 0.7610 0.4864
0.1673 0.0563 0.7946
0.1806 0.5053 0.7896
0.3322 0.7912 0.0941
0.3481 0.3343 0.0741
0.4655 0.0708 0.3624
0.4860 0.6124 0.3565
0.6165 0.3789 0.6656
0.6287 0.9011 0.6376
0.7147 0.6599 0.9450
0.7279 0.1836 0.9166
0.8680 0.9476 0.2221
0.8834 0.4933 0.2136
```

***

9.
Here is Li4MnCo2O7 after structural relaxation from the Alexandria database. Energies are from PBE+U.

Properties
V: 248.2 Å³ per cell
total magnetization: 16.0 Bohr magnetons per cell
total DFT energy (no corrections): -5.827 eV/atom

Structure (POSCAR):
```
Li4MnCo2O7
1.0
4.9778 0.0000 0.0000
-0.9519 5.0746 0.0000
-1.7017 -1.9203 9.8255
Li Mn Co O
8 2 4 14
Direct
0.0000 0.0000 0.0000
0.0143 0.0073 0.5149
0.1410 0.2704 0.8037
0.2772 0.5542 0.0585
0.4363 0.8656 0.3615
0.5863 0.1397 0.6597
0.7160 0.4507 0.9347
0.8612 0.7242 0.2060
0.1527 0.2948 0.2922
0.7278 0.4352 0.4383
0.3117 0.5756 0.5942
0.4255 0.8616 0.8647
0.5697 0.1396 0.1360
0.8631 0.7084 0.7206
0.0795 0.6183 0.4069
0.0826 0.6508 0.8826
0.2109 0.9052 0.6902
0.2301 0.9801 0.1972
0.3759 0.2365 0.4632
0.3804 0.2148 0.9715
0.5061 0.4973 0.2723
0.5177 0.4961 0.7462
0.6210 0.8067 0.0373
0.6639 0.7595 0.5420
0.7730 0.0184 0.8179
0.8118 0.1130 0.3359
0.9274 0.3804 0.6082
0.9385 0.3638 0.1331
```

***

10.
Here is Li4Mn3Co3O12 after structural relaxation from the Alexandria database. Energies are from PBE+U.

Properties
V: 220.0 Å³ per cell
total magnetization: 16.0 Bohr magnetons per cell
total DFT energy (no corrections): -6.200 eV/atom

Structure (POSCAR):
```
Li4Mn3Co3O12
1.0
5.7080 0.0000 0.0000
-0.0909 5.8651 0.0000
-1.4483 -1.6368 6.5701
Li Mn Co O
4 3 3 12
Direct
0.0000 0.0000 0.0000
0.1917 0.6382 0.6358
0.5000 0.0000 0.0000
0.8083 0.3618 0.3642
0.0000 0.5000 0.0000
0.3293 0.8353 0.3338
0.6707 0.1647 0.6662
0.1662 0.1657 0.6613
0.5000 0.5000 0.0000
0.8338 0.8343 0.3387
0.0773 0.6130 0.3354
0.0801 0.0537 0.3386
0.2487 0.7618 0.0386
0.2501 0.2779 0.9865
0.4058 0.9327 0.6377
0.4249 0.3924 0.6970
0.5751 0.6076 0.3030
0.5942 0.0673 0.3623
0.7499 0.7220 0.0135
0.7513 0.2382 0.9614
0.9199 0.9463 0.6614
0.9227 0.3870 0.6646
```

***

11.
Here is Li7Mn4CoO12 after structural relaxation from the Alexandria database. Energies are from PBE+U.

Properties
V: 217.5 Å³ per cell
total magnetization: 16.0 Bohr magnetons per cell
total DFT energy (no corrections): -6.213 eV/atom

Structure (POSCAR):
```
Li7Mn4CoO12
1.0
4.8619 -4.3020 0.0000
4.8619 4.3020 0.0000
-0.6877 0.0000 5.2004
Li Mn Co O
7 4 1 12
Direct
0.0000 0.0000 0.0000
0.0852 0.4148 0.2565
0.2442 0.2369 0.7623
0.4203 0.0870 0.2561
0.5852 0.9148 0.7435
0.7631 0.7558 0.2377
0.9130 0.5797 0.7439
0.1672 0.8328 0.5000
0.3340 0.6660 0.0000
0.5028 0.4972 0.5000
0.8357 0.1643 0.5000
0.6698 0.3302 0.0000
0.0694 0.7152 0.1543
0.1176 0.1143 0.3989
0.2171 0.5501 0.6081
0.2848 0.9306 0.8457
0.3874 0.3779 0.1062
0.4499 0.7829 0.3919
0.5557 0.2141 0.6126
0.6221 0.6126 0.8938
0.7196 0.0683 0.1517
0.7859 0.4443 0.3874
0.8857 0.8824 0.6011
0.9317 0.2804 0.8483
```

***

12.
Here is Li4MnCo2O7 after structural relaxation from the Alexandria database. Energies are from PBE+U.

Properties
V: 247.2 Å³ per cell
total magnetization: 14.0 Bohr magnetons per cell
total DFT energy (no corrections): -5.801 eV/atom

Structure (POSCAR):
```
Li4MnCo2O7
1.0
2.9443 0.0000 0.0000
0.2956 5.9154 0.0000
1.4224 1.7004 14.1903
Li Mn Co O
8 2 4 14
Direct
0.0000 0.0000 0.0000
0.0000 0.5000 0.0000
0.1450 0.0773 0.7176
0.2897 0.6414 0.4255
0.4374 0.2084 0.1386
0.5626 0.7916 0.8614
0.7103 0.3586 0.5745
0.8550 0.9227 0.2824
0.3000 0.1519 0.4266
0.7000 0.8481 0.5734
0.1296 0.5685 0.7188
0.4338 0.7208 0.1344
0.5662 0.2792 0.8656
0.8704 0.4315 0.2812
0.0410 0.0571 0.8562
0.0981 0.5240 0.8529
0.1638 0.6058 0.5805
0.2440 0.0998 0.5684
0.3545 0.6510 0.2737
0.3891 0.2086 0.2875
0.4949 0.7438 0.0117
0.5051 0.2562 0.9883
0.6109 0.7914 0.7125
0.6455 0.3490 0.7263
0.7560 0.9002 0.4316
0.8362 0.3942 0.4195
0.9019 0.4760 0.1471
0.9590 0.9429 0.1438
```

***

13.
Here is Li5MnCo2O8 after structural relaxation from the Alexandria database. Energies are from PBE+U.

Properties
V: 135.1 Å³ per cell
total magnetization: 4.0 Bohr magnetons per cell
total DFT energy (no corrections): -5.736 eV/atom

Structure (POSCAR):
```
Li5MnCo2O8
1.0
5.8124 0.0000 0.0000
0.0000 2.8706 0.0000
-0.1320 0.0000 8.0960
Li Mn Co O
5 1 2 8
Direct
0.0000 0.0000 0.0000
0.0004 0.0000 0.4927
0.2424 0.5000 0.2637
0.5027 0.0000 0.4913
0.7590 0.5000 0.7263
0.2504 0.5000 0.7404
0.5036 0.0000 0.0001
0.7552 0.5000 0.2530
0.0280 0.0000 0.7516
0.2555 0.5000 0.5158
0.2780 0.5000 0.9908
0.4838 0.0000 0.7600
0.5280 0.0000 0.2355
0.7256 0.5000 0.0109
0.7484 0.5000 0.4736
0.9701 0.0000 0.2438
```